# 1
The following is a DFT calculation (PBE) of crystalline NpTaOs at its relaxed geometry.

Cell: 4.415 4.415 7.207 Å, 72.16 72.16 60.00°
Site moments in Bohr magnetons follow the coordinates.
Sites, in units of the cell vectors:
Ta 0.208 0.208 0.377  -0.01
Ta 0.792 0.792 0.623  -0.01
Np 0.351 0.351 0.947  0.24
Np 0.649 0.649 0.053  0.24
Os 0.922 0.922 0.235  -0.01
Os 0.078 0.078 0.765  -0.01

Results
formation energy from the elements: 0.130 eV per atom
magnetic moment: 0.22 μB/f.u.
space group: No. 166

=====

# 2
The following is a DFT calculation (PBE) of crystalline NpTaOs2 at its relaxed geometry.

Cell: 4.641 4.641 4.642 Å, 60.01 60.01 60.00°
Site moments in Bohr magnetons follow the coordinates.
Sites, in units of the cell vectors:
Np 0.000 0.000 0.000  3.18
Os 0.750 0.750 0.749  -0.14
Os 0.250 0.250 0.251  -0.14
Ta 0.500 0.500 0.500  0.07

Results
distance to the lowest polymorph of the same formula: 0.176 eV per atom
formation energy from the elements: 0.078 eV per atom
magnetic moment: 3.15 μB/f.u.
space group: No. 225

=====

# 3
The following is a DFT calculation (PBE) of crystalline NpTa2Os at its relaxed geometry.

Cell: 3.073 4.802 4.802 Å, 90.00 90.00 90.00°
Site moments in Bohr magnetons follow the coordinates.
Sites, in units of the cell vectors:
Np 0.500 0.500 0.500  2.77
Os 0.500 0.000 0.000  0.06
Ta 0.000 0.000 0.500  0.04
Ta 0.000 0.500 0.000  0.04

Results
distance to the lowest polymorph of the same formula: 0.079 eV per atom
formation energy from the elements: 0.162 eV per atom
magnetic moment: 2.99 μB/f.u.
space group: No. 123

=====

# 4
The following is a DFT calculation (PBE) of crystalline NpTa2Os at its relaxed geometry.

Cell: 3.076 3.076 7.816 Å, 90.00 90.00 90.00°
Site moments in Bohr magnetons follow the coordinates.
Sites, in units of the cell vectors:
Np 0.500 0.500 0.500  2.90
Os 0.500 0.500 0.000  -0.02
Ta 0.000 0.000 0.785  -0.09
Ta 0.000 0.000 0.215  -0.09

Results
distance to the lowest polymorph of the same formula: 0.000 eV per atom
formation energy from the elements: 0.083 eV per atom
magnetic moment: 2.76 μB/f.u.
space group: No. 123

=====

# 5
The following is a DFT calculation (PBE) of crystalline NpTa2Os at its relaxed geometry.

Cell: 4.655 4.655 4.655 Å, 60.00 60.00 60.00°
Site moments in Bohr magnetons follow the coordinates.
Sites, in units of the cell vectors:
Np 0.500 0.500 0.500  3.17
Os 0.000 0.000 0.000  -0.17
Ta 0.250 0.250 0.250  0.05
Ta 0.750 0.750 0.750  0.05

Results
distance to the lowest polymorph of the same formula: 0.167 eV per atom
formation energy from the elements: 0.250 eV per atom
magnetic moment: 3.12 μB/f.u.
space group: No. 225

=====

# 6
The following is a DFT calculation (PBE) of crystalline Tb3NpOs8 at its relaxed geometry.

Cell: 5.357 5.356 9.288 Å, 73.24 73.27 60.01°
Site moments in Bohr magnetons follow the coordinates.
Sites, in units of the cell vectors:
Tb 0.375 0.375 0.875  0.03
Tb 0.000 0.000 0.000  0.04
Tb 0.500 0.500 0.500  0.06
Np 0.875 0.875 0.375  3.26
Os 0.937 0.437 0.189  -0.20
Os 0.439 0.937 0.686  -0.14
Os 0.437 0.437 0.189  -0.20
Os 0.937 0.937 0.686  -0.14
Os 0.187 0.187 0.438  -0.19
Os 0.687 0.687 0.939  -0.17
Os 0.437 0.937 0.189  -0.20
Os 0.937 0.440 0.686  -0.14

Results
formation energy from the elements: -0.178 eV per atom
magnetic moment: 2.14 μB/f.u.
space group: No. 160

=====

# 7
The following is a DFT calculation (PBE) of crystalline Np2TcOs at its relaxed geometry.

Cell: 4.762 4.762 4.762 Å, 60.00 60.00 60.00°
Site moments in Bohr magnetons follow the coordinates.
Sites, in units of the cell vectors:
Np 0.250 0.250 0.250  3.22
Np 0.750 0.750 0.750  3.22
Os 0.500 0.500 0.500  -0.45
Tc 0.000 0.000 0.000  -0.66

Results
distance to the lowest polymorph of the same formula: 0.001 eV per atom
formation energy from the elements: 0.175 eV per atom
magnetic moment: 5.70 μB/f.u.
space group: No. 225

=====

# 8
The following is a DFT calculation (PBE) of crystalline Np2TcOs at its relaxed geometry.

Cell: 3.611 4.584 4.584 Å, 90.00 90.00 90.00°
Site moments in Bohr magnetons follow the coordinates.
Sites, in units of the cell vectors:
Np 0.000 0.000 0.500  3.21
Np 0.000 0.500 0.000  3.21
Os 0.500 0.000 0.000  -0.48
Tc 0.500 0.500 0.500  -0.69

Results
distance to the lowest polymorph of the same formula: 0.000 eV per atom
formation energy from the elements: 0.174 eV per atom
magnetic moment: 5.58 μB/f.u.
space group: No. 123